Record 1
Computed, not measured: crystalline Sr3HfTh2P6 at its relaxed geometry at the GGA-PBE level of DFT.

Structure (POSCAR):
```
Sr3HfTh2P6
1.0
-6.4804 2.8881 1.1754
0.8532 -4.9463 -5.1502
0.4706 -4.3577 5.9427
P Th Sr Hf
6 2 3 1
direct
0.3887 0.0725 0.2179 P
0.6113 0.9275 0.7821 P
0.2428 0.2428 0.7821 P
0.7572 0.7572 0.2179 P
0.9275 0.6113 0.7821 P
0.0725 0.3887 0.2179 P
0.6663 0.3337 0.0000 Th
0.3337 0.6663 0.0000 Th
0.5000 0.5000 0.5000 Sr
0.1685 0.8315 0.5000 Sr
0.8315 0.1685 0.5000 Sr
0.0000 0.0000 0.0000 Hf
```

Summary:
Formation energy from the elements = -1.301 eV/atom
E_tot = -6.493 eV/atom
Total magnetic moment = 0.00 μB per formula unit


Record 2
Computed, not measured: crystalline TmThFeCo at its relaxed geometry at the GGA-PBE level of DFT.

Structure (POSCAR):
```
TmThFeCo
1.0
4.7798 0.0000 0.0000
2.3899 4.1394 0.0000
2.3899 1.3798 3.9027
Fe Tm Co Th
1 1 1 1
direct
0.7500 0.7500 0.7500 Fe
0.5000 0.5000 0.5000 Tm
0.2500 0.2500 0.2500 Co
0.0000 0.0000 0.0000 Th
```

Summary:
Formation energy from the elements = -0.056 eV/atom
E_tot = -6.921 eV/atom
Total magnetic moment = 0.80 μB per formula unit


Record 3
Computed, not measured: crystalline Li2InGa2 at its relaxed geometry at the GGA-PBE level of DFT.

Structure (POSCAR):
```
Li2InGa2
1.0
-3.9268 0.7662 6.2342
1.2486 -7.1103 1.6603
2.7802 0.8721 1.6440
Li Ga In
4 4 2
direct
0.3267 0.1733 0.5000 Li
0.1733 0.6733 0.5000 Li
0.6733 0.8267 0.5000 Li
0.8267 0.3267 0.5000 Li
0.8754 0.6246 0.0000 Ga
0.3754 0.8754 0.0000 Ga
0.1246 0.3754 0.0000 Ga
0.6246 0.1246 0.0000 Ga
0.0000 0.0000 0.0000 In
0.5000 0.5000 0.0000 In
```

Summary:
Formation energy from the elements = -0.208 eV/atom
Relative energy among the computed polymorphs = 0 kJ/mol of formula units
E_tot = -2.732 eV/atom
Total magnetic moment = 0.00 μB per formula unit


Record 4
Computed, not measured: crystalline InHgTe2 at its relaxed geometry at the GGA-PBE level of DFT.

Structure (POSCAR):
```
InHgTe2
1.0
-3.5309 -1.6150 6.9875
0.8945 -3.8106 6.9699
0.5407 1.0266 7.9092
In Hg Te
1 1 2
direct
0.5007 0.5007 0.5007 In
0.0075 0.0075 0.0075 Hg
0.8716 0.8716 0.8716 Te
0.3702 0.3702 0.3702 Te
```

Summary:
E_tot = -2.477 eV/atom
Total magnetic moment = 0.00 μB per formula unit
Raw formation energy = -146 meV per atom


Record 5
Computed, not measured: crystalline Cs3HfTl2O6 at its relaxed geometry at the GGA-PBE level of DFT.

Structure (POSCAR):
```
Cs3HfTl2O6
1.0
-0.8324 -5.2660 3.6965
2.0381 -0.6269 -6.1271
7.3866 0.5198 2.4039
Tl Cs O Hf
2 3 6 1
direct
0.6667 0.3333 0.7384 Tl
0.3333 0.6667 0.2616 Tl
0.3333 0.6667 0.7017 Cs
0.6667 0.3333 0.2983 Cs
0.0000 0.0000 0.0000 Cs
0.8507 0.7014 0.6620 O
0.1493 0.2986 0.3380 O
0.7014 0.8507 0.3380 O
0.2986 0.1493 0.6620 O
0.8507 0.1493 0.6620 O
0.1493 0.8507 0.3380 O
0.0000 0.0000 0.5000 Hf
```

Summary:
E_tot = -5.398 eV/atom
Total magnetic moment = 0.00 μB per formula unit
Raw formation energy = -1481 meV per atom


Record 6
Computed, not measured: crystalline GdMgCuSi at its relaxed geometry at the GGA-PBE level of DFT.

Structure (POSCAR):
```
GdMgCuSi
1.0
4.7621 0.0000 0.0000
2.3811 4.1241 0.0000
2.3811 1.3747 3.8883
Si Gd Cu Mg
1 1 1 1
direct
0.2500 0.2500 0.2500 Si
0.0000 0.0000 0.0000 Gd
0.7500 0.7500 0.7500 Cu
0.5000 0.5000 0.5000 Mg
```

Summary:
E_tot = -6.603 eV/atom
Total magnetic moment = 6.96 μB per formula unit
Raw formation energy = -305 meV per atom


Record 7
Computed, not measured: crystalline SrTl2Ir at its relaxed geometry at the GGA-PBE level of DFT.

Structure (POSCAR):
```
SrTl2Ir
1.0
-3.8363 -1.9402 1.2896
2.2053 -3.9110 0.6763
0.9040 1.3175 4.6714
Ir Tl Sr
1 2 1
direct
0.5000 0.0000 0.5000 Ir
0.0000 0.0000 0.0000 Tl
0.5000 0.5000 0.0000 Tl
0.0000 0.5000 0.5000 Sr
```

Summary:
Formation energy from the elements = 0.168 eV/atom
E_tot = -3.650 eV/atom
Total magnetic moment = 0.00 μB per formula unit


Record 8
Computed, not measured: crystalline Tc2IrW at its relaxed geometry at the GGA-PBE level of DFT.

Structure (POSCAR):
```
Tc2IrW
1.0
-0.7224 3.7241 0.8726
-3.3815 -0.2067 -1.9172
-1.8071 -1.1258 3.3087
Tc W Ir
2 1 1
direct
0.0000 0.0000 0.0000 Tc
0.5000 0.5000 0.0000 Tc
0.5000 0.0000 0.5000 W
0.0000 0.5000 0.5000 Ir
```

Summary:
Formation energy from the elements = -0.122 eV/atom
Relative energy among the computed polymorphs = 0 kJ/mol of formula units
E_tot = -10.758 eV/atom
Total magnetic moment = 0.00 μB per formula unit